The following is a DFT calculation (GGA-PBEsol) of a geometry-optimized YSi3Ni structure.

Values from the calculation:
* SG: Pm-3m, No. 221
* calculated volume: 87.7 Å³/cell
* raw formation energy: -0.054 eV per atom

Lattice parameters (Å, degrees): 4.4428 4.4428 4.4428 90.00 90.00 90.00
Closest atoms and distances in Å follow each position.
Fractional coordinates of all 5 atoms:
Ni  0.0000  0.0000  0.0000  6 Si 2.22
Si  0.0000  0.0000  0.5000  2 Ni 2.22
Y  0.5000  0.5000  0.5000  12 Si 3.14
Si  0.5000  0.0000  0.0000  2 Ni 2.22
Si  0.0000  0.5000  0.0000  2 Ni 2.22